The following is a PBE+U calculation of a relaxed structure of Mn2VO5, from Alexandria via LeMat-Bulk.

Computed properties:
Crystal system: orthorhombic
ΔE to the lowest computed polymorph (eV/atom): 0.060
Total magnetization (μB/cell): 36.0

Cell and atoms, written as CIF:
```
data_Mn2VO5
_chemical_formula_sum 'Mn8 V4 O20'
_symmetry_space_group_name_H-M 'C m c m'
_symmetry_Int_Tables_number 63
_symmetry_space_group_name_Hall '-C 2c 2'
_cell_length_a 3.783
_cell_length_b 10.155
_cell_length_c 9.892
_cell_angle_alpha 90.00
_cell_angle_beta 90.00
_cell_angle_gamma 90.00
loop_
_atom_site_label
_atom_site_fract_x
_atom_site_fract_y
_atom_site_fract_z
_atom_site_occupancy
Mn1 0.000 0.141 0.069 1
V1 0.000 0.184 0.750 1
O1 0.000 0.062 0.617 1
O2 0.000 0.253 0.250 1
O3 0.000 0.317 0.581 1
```